Material: CdRe2Ni
Method: DFT, PBE
State: relaxed

Cell lengths 3.157, 4.191, 4.603 Å; angles 90.00, 90.00, 90.00 degrees
Space group Pmmm (No. 47)
One atom of each set of equivalent atoms:
Cd  0.000  0.000  0.000
Re  0.000  0.500  0.500
Re  0.500  0.000  0.500
Ni  0.500  0.500  0.000

Properties
crystal system: orthorhombic
total moment: 0.0 μB/cell
energy of formation from the pure elements: 2.0 eV per formula unit



Material: CdRe2Ni
Method: DFT, PBE
State: relaxed

Cell lengths 2.7631, 2.7631, 27.5247 Å; angles 90.00, 90.00, 120.00 degrees
Space group R-3m (No. 166, hexagonal axes)
One atom of each set of equivalent atoms:
Cd  0.0000  0.0000  0.0000
Re  0.0000  0.0000  0.2410
Ni  0.0000  0.0000  0.5000

Properties
crystal system: trigonal
total moment: 0.0 μB/cell
energy of formation from the pure elements: 1.7 eV per formula unit



Material: Cd2ReNi
Method: DFT, PBE
State: relaxed

Cell lengths 2.868, 4.782, 4.817 Å; angles 90.00, 90.00, 90.00 degrees
Space group Pmmm (No. 47)
One atom of each set of equivalent atoms:
Cd  0.000  0.000  0.000
Cd  0.500  0.500  0.000
Re  0.000  0.500  0.500
Ni  0.500  0.000  0.500

Properties
crystal system: orthorhombic
total moment: 0.9 μB/cell
energy of formation from the pure elements: 2.4 eV per formula unit
E above lowest polymorph: 374 meV per atom



Material: CdRe2Ni
Method: DFT, PBE
State: relaxed

Cell lengths 2.674, 2.674, 8.440 Å; angles 90.00, 90.00, 90.00 degrees
Space group P4/mmm (No. 123)
One atom of each set of equivalent atoms:
Cd  0.000  0.000  0.000
Re  0.500  0.500  0.281
Ni  0.000  0.000  0.500

Properties
crystal system: tetragonal
total moment: 0.0 μB/cell
energy of formation from the pure elements: 1.8 eV per formula unit



Material: CdRe2Ni
Method: DFT, PBE
State: relaxed

Cell lengths 5.234, 9.291, 2.657 Å; angles 90.00, 108.86, 90.00 degrees
Space group C2/m (No. 12)
One atom of each set of equivalent atoms:
Cd  0.000  0.000  0.000
Re  0.250  0.250  0.500
Ni  0.000  0.500  0.000

Properties
crystal system: monoclinic
total moment: 0.0 μB/cell
energy of formation from the pure elements: 2.2 eV per formula unit



Material: CdRe2SiNi
Method: DFT, PBE
State: relaxed

Cell lengths 4.494, 4.494, 4.217 Å; angles 90.00, 90.00, 90.00 degrees
Space group P4/mmm (No. 123)
One atom of each set of equivalent atoms:
Cd  0.000  0.000  0.000
Re  0.000  0.500  0.500
Si  0.500  0.500  0.500
Ni  0.500  0.500  0.000

Properties
crystal system: tetragonal
VASP energy: -6.447 eV/atom
total moment: 0.0 μB/cell



Material: CdReNiTe2
Method: DFT, PBE
State: relaxed

Cell lengths 5.477, 5.477, 4.688 Å; angles 90.00, 90.00, 90.00 degrees
Space group P4/mmm (No. 123)
One atom of each set of equivalent atoms:
Cd  0.000  0.000  0.000
Re  0.500  0.500  0.500
Ni  0.000  0.000  0.500
Te  0.000  0.500  0.000

Properties
crystal system: tetragonal
VASP energy: -3.298 eV/atom
total moment: 4.8 μB/cell



Material: CdRe2NiTe
Method: DFT, PBE
State: relaxed

Cell lengths 4.980, 4.980, 4.561 Å; angles 90.00, 90.00, 90.00 degrees
Space group P4/mmm (No. 123)
One atom of each set of equivalent atoms:
Cd  0.000  0.000  0.000
Re  0.000  0.500  0.000
Ni  0.000  0.000  0.500
Te  0.500  0.500  0.500

Properties
crystal system: tetragonal
VASP energy: -4.575 eV/atom
total moment: 4.7 μB/cell



Material: ZrCd2ReNi
Method: DFT, PBE
State: relaxed

Cell lengths 5.441, 5.441, 4.497 Å; angles 90.00, 90.00, 90.00 degrees
Space group P4/mmm (No. 123)
One atom of each set of equivalent atoms:
Zr  0.000  0.000  0.000
Cd  0.000  0.500  0.000
Re  0.500  0.500  0.500
Ni  0.000  0.000  0.500

Properties
crystal system: tetragonal
total moment: 3.4 μB/cell
energy of formation from the pure elements: 9.9 eV per formula unit



Material: Cd4NiRh
Method: DFT, PBE
State: relaxed

Cell lengths 7.717, 7.717, 7.717 Å; angles 90.00, 90.00, 90.00 degrees
Space group F-43m (No. 216)
One atom of each set of equivalent atoms:
Cd  0.125  0.125  0.125
Ni  0.250  0.250  0.750
Rh  0.000  0.000  0.500

Properties
crystal system: cubic
total moment: 0.0 μB/cell
energy of formation from the pure elements: 2.5 eV per formula unit



Material: CdNi2Rh
Method: DFT, PBE
State: relaxed

Cell lengths 3.876, 3.876, 3.732 Å; angles 90.00, 90.00, 90.00 degrees
Space group P4/mmm (No. 123)
One atom of each set of equivalent atoms:
Cd  0.000  0.000  0.000
Ni  0.000  0.500  0.500
Rh  0.500  0.500  0.000

Properties
crystal system: tetragonal
total moment: 1.6 μB/cell
energy of formation from the pure elements: 0.5 eV per formula unit



Material: CdNiRh2
Method: DFT, PBE
State: relaxed

Cell lengths 2.769, 4.287, 5.236 Å; angles 90.00, 104.90, 90.00 degrees
Space group P2/m (No. 10)
One atom of each set of equivalent atoms:
Cd  0.000  0.000  0.000
Ni  0.500  0.000  0.500
Rh  0.350  0.500  0.726

Properties
crystal system: monoclinic
total moment: 1.0 μB/cell
energy of formation from the pure elements: 0.5 eV per formula unit